(1)
This record from the Alexandria database describes Rb3La2CeS6 after structural relaxation. The functional is PBE.

Results
* E_tot: -0.4023 Ry/atom
* crystal system: monoclinic
* density of states at the Fermi level: 4.89 states/eV/f.u.

Unit cell a=7.4552 b=7.4552 c=8.0704 alpha=98.86 beta=98.86 gamma=120.00
Closest atoms and distances in Å follow each position.
Atoms (fractional coordinates):
Rb: 0.0000 0.0000 0.0000  6 S 3.40-3.42
Rb: 0.3330 0.6670 0.0000  6 S 3.40-3.42
Rb: 0.6670 0.3330 0.0000  6 S 3.40-3.42
La: 0.1666 0.8334 0.5000  6 S 2.92
La: 0.8334 0.1666 0.5000  6 S 2.92
Ce: 0.5000 0.5000 0.5000  6 S 2.89
S: 0.1045 0.4344 0.3032  1 Ce 2.89, 2 La 2.92
S: 0.2357 0.2357 0.6968  1 Ce 2.89, 2 La 2.92
S: 0.4344 0.1045 0.3032  1 Ce 2.89, 2 La 2.92
S: 0.5656 0.8955 0.6968  1 Ce 2.89, 2 La 2.92
S: 0.7643 0.7643 0.3032  1 Ce 2.89, 2 La 2.92
S: 0.8955 0.5656 0.6968  1 Ce 2.89, 2 La 2.92


(2)
This record from the Alexandria database describes Sc2BCl2 after structural relaxation. The functional is PBE.

Results
* offset from the most stable computed form: 16.68 kJ/mol of atoms
* E_tot: -0.3468 Ry/atom
* crystal system: tetragonal
* density of states at the Fermi level: 5.68 states/eV/f.u.

Unit cell a=7.5772 b=7.5772 c=3.0388 alpha=90.00 beta=90.00 gamma=90.00
Closest atoms and distances in Å follow each position.
Atoms (fractional coordinates):
Sc: 0.1779 0.3221 0.0000  6 Cl 2.58-2.80
Sc: 0.3221 0.8221 0.0000  6 Cl 2.58-2.80
Sc: 0.6779 0.1779 0.0000  6 Cl 2.58-2.80
Sc: 0.8221 0.6779 0.0000  6 Cl 2.58-2.80
B: 0.0000 0.0000 0.5000  4 Cl 2.98, 2 B 3.04, 8 Sc 3.18
B: 0.5000 0.5000 0.5000  4 Cl 2.98, 2 B 3.04, 8 Sc 3.18
Cl: 0.1278 0.6278 0.5000  6 Sc 2.58-2.80, 1 Cl 2.74
Cl: 0.3722 0.1278 0.5000  6 Sc 2.58-2.80, 1 Cl 2.74
Cl: 0.6278 0.8722 0.5000  6 Sc 2.58-2.80, 1 Cl 2.74
Cl: 0.8722 0.3722 0.5000  6 Sc 2.58-2.80, 1 Cl 2.74


(3)
This record from the Alexandria database describes Ho3MgHg after structural relaxation. The functional is PBE.

Results
* offset from the most stable computed form: 10.49 kJ/mol of atoms
* E_tot: -0.2366 Ry/atom
* crystal system: monoclinic
* density of states at the Fermi level: 5.69 states/eV/f.u.

Unit cell a=6.7645 b=6.7645 c=14.8408 alpha=95.55 beta=95.55 gamma=56.83
Closest atoms and distances in Å follow each position.
Atoms (fractional coordinates):
Ho: 0.0227 0.6382 0.2048  2 Hg 3.11-3.21, 3 Ho 3.44-3.46
Ho: 0.0427 0.8304 0.8886  2 Hg 3.05-3.06, 2 Mg 3.19-3.30, 2 Ho 3.37-3.41
Ho: 0.1334 0.4785 0.6025  2 Hg 3.07-3.15, 2 Mg 3.28-3.40, 3 Ho 3.34-3.41
Ho: 0.1696 0.9573 0.6114  2 Hg 3.05-3.06, 2 Mg 3.19-3.30, 2 Ho 3.37-3.41
Ho: 0.3618 0.9773 0.2952  2 Hg 3.11-3.21, 3 Ho 3.44-3.46
Ho: 0.4785 0.1334 0.1025  2 Hg 3.07-3.15, 2 Mg 3.28-3.40, 3 Ho 3.34-3.41
Ho: 0.5215 0.8666 0.8975  2 Hg 3.07-3.15, 2 Mg 3.28-3.40, 3 Ho 3.34-3.41
Ho: 0.6382 0.0227 0.7048  2 Hg 3.11-3.21, 3 Ho 3.44-3.46
Ho: 0.8304 0.0427 0.3886  2 Hg 3.05-3.06, 2 Mg 3.19-3.30, 2 Ho 3.37-3.41
Ho: 0.8666 0.5215 0.3975  2 Hg 3.07-3.15, 2 Mg 3.28-3.40, 3 Ho 3.34-3.41
Ho: 0.9573 0.1696 0.1114  2 Hg 3.05-3.06, 2 Mg 3.19-3.30, 2 Ho 3.37-3.41
Ho: 0.9773 0.3618 0.7952  2 Hg 3.11-3.21, 3 Ho 3.44-3.46
Mg: 0.3314 0.5612 0.4166  1 Hg 2.89, 1 Mg 3.04, 1 Ho 3.19
Mg: 0.4388 0.6686 0.0834  1 Hg 2.89, 1 Mg 3.04, 1 Ho 3.19
Mg: 0.5612 0.3314 0.9166  1 Hg 2.89, 1 Mg 3.04, 1 Ho 3.19
Mg: 0.6686 0.4388 0.5834  1 Hg 2.89, 1 Mg 3.04, 1 Ho 3.19
Hg: 0.0000 0.5000 0.0000  6 Ho 3.05-3.15
Hg: 0.4246 0.5754 0.7500  2 Mg 2.89, 6 Ho 3.06-3.21
Hg: 0.5000 0.0000 0.5000  6 Ho 3.05-3.15
Hg: 0.5754 0.4246 0.2500  2 Mg 2.89, 6 Ho 3.06-3.21


(4)
This record from the Alexandria database describes DyCdRh2 after structural relaxation. The functional is PBE.

Results
* offset from the most stable computed form: 7.53 kJ/mol of atoms
* E_tot: -0.4106 Ry/atom
* crystal system: tetragonal
* density of states at the Fermi level: 1.81 states/eV/f.u.

Unit cell a=3.3726 b=3.3726 c=6.4460 alpha=90.00 beta=90.00 gamma=90.00
Closest atoms and distances in Å follow each position.
Atoms (fractional coordinates):
Dy: 0.0000 0.0000 0.0000  8 Rh 2.90, 2 Cd 3.22
Cd: 0.0000 0.0000 0.5000  8 Rh 2.85
Rh: 0.5000 0.5000 0.2573  4 Cd 2.85, 4 Dy 2.90, 1 Rh 3.13
Rh: 0.5000 0.5000 0.7427  4 Cd 2.85, 4 Dy 2.90, 1 Rh 3.13


(5)
This record from the Alexandria database describes BaGePCl2 after structural relaxation. The functional is PBE.

Results
* offset from the most stable computed form: 0.00 kJ/mol of atoms
* E_tot: -0.2979 Ry/atom
* crystal system: tetragonal
* density of states at the Fermi level: 0.45 states/eV/f.u.

Unit cell a=5.2792 b=5.2792 c=4.7739 alpha=90.00 beta=90.00 gamma=90.00
Closest atoms and distances in Å follow each position.
Atoms (fractional coordinates):
Ba: 0.0000 0.0000 0.0000  8 Cl 3.56, 4 P 3.73
Ge: 0.5000 0.5000 0.5000  2 P 2.39, 4 Cl 2.64
P: 0.5000 0.5000 0.0000  2 Ge 2.39
Cl: 0.0000 0.5000 0.5000  2 Ge 2.64
Cl: 0.5000 0.0000 0.5000  2 Ge 2.64


(6)
This record from the Alexandria database describes Ag12Hg2Au5 after structural relaxation. The functional is PBE.

Results
* offset from the most stable computed form: 1.26 kJ/mol of atoms
* E_tot: -0.1934 Ry/atom
* crystal system: monoclinic
* density of states at the Fermi level: 4.54 states/eV/f.u.

Unit cell a=7.7659 b=7.7659 c=6.9874 alpha=96.95 beta=96.95 gamma=63.27
Closest atoms and distances in Å follow each position.
Atoms (fractional coordinates):
Ag: 0.0526 0.0526 0.2273  6 Ag 2.81-2.92, 2 Au 2.81-3.07, 2 Hg 3.03
Ag: 0.0598 0.4270 0.3093  7 Ag 2.86-3.04, 3 Au 2.87-2.98
Ag: 0.1054 0.6837 0.0673  4 Au 2.81-2.96, 5 Ag 2.81-3.07
Ag: 0.3163 0.8946 0.9327  4 Au 2.81-2.96, 5 Ag 2.81-3.07
Ag: 0.3692 0.3692 0.6302  2 Hg 2.81, 3 Au 2.83-2.90, 4 Ag 3.00-3.04
Ag: 0.4270 0.0598 0.3093  7 Ag 2.86-3.04, 3 Au 2.87-2.98
Ag: 0.5730 0.9402 0.6907  7 Ag 2.86-3.04, 3 Au 2.87-2.98
Ag: 0.6308 0.6308 0.3698  2 Hg 2.81, 3 Au 2.83-2.90, 4 Ag 3.00-3.04
Ag: 0.6837 0.1054 0.0673  4 Au 2.81-2.96, 5 Ag 2.81-3.07
Ag: 0.8946 0.3163 0.9327  4 Au 2.81-2.96, 5 Ag 2.81-3.07
Ag: 0.9402 0.5730 0.6907  7 Ag 2.86-3.04, 3 Au 2.87-2.98
Ag: 0.9474 0.9474 0.7727  6 Ag 2.81-2.92, 2 Au 2.81-3.07, 2 Hg 3.03
Hg: 0.2659 0.7341 0.5000  4 Ag 2.81-3.03, 2 Au 2.98
Hg: 0.7341 0.2659 0.5000  4 Ag 2.81-3.03, 2 Au 2.98
Au: 0.1516 0.1516 0.6111  9 Ag 2.81-3.07, 1 Au 2.86, 2 Hg 2.98
Au: 0.2811 0.2811 0.9763  7 Ag 2.82-2.87, 2 Au 2.86-2.88
Au: 0.5000 0.5000 0.0000  6 Ag 2.81-2.90, 2 Au 2.88
Au: 0.7189 0.7189 0.0237  7 Ag 2.82-2.87, 2 Au 2.86-2.88
Au: 0.8484 0.8484 0.3889  9 Ag 2.81-3.07, 1 Au 2.86, 2 Hg 2.98


(7)
This record from the Alexandria database describes TiV6Os2 after structural relaxation. The functional is PBE.

Results
* E_tot: -0.6891 Ry/atom
* crystal system: monoclinic
* density of states at the Fermi level: 8.30 states/eV/f.u.

Unit cell a=4.9266 b=4.9266 c=6.6507 alpha=108.90 beta=108.90 gamma=59.46
Closest atoms and distances in Å follow each position.
Atoms (fractional coordinates):
Ti: 0.0000 0.0000 0.0000  4 V 2.55, 4 Os 2.81
V: 0.1994 0.6829 0.2970  4 V 2.36-2.64, 1 Os 2.50, 1 Ti 2.55
V: 0.2425 0.2425 0.4650  6 V 2.48-2.71, 1 Os 2.56
V: 0.3171 0.8006 0.7030  4 V 2.36-2.64, 1 Os 2.50, 1 Ti 2.55
V: 0.6829 0.1994 0.2970  4 V 2.36-2.64, 1 Os 2.50, 1 Ti 2.55
V: 0.7575 0.7575 0.5350  6 V 2.48-2.71, 1 Os 2.56
V: 0.8006 0.3171 0.7030  4 V 2.36-2.64, 1 Os 2.50, 1 Ti 2.55
Os: 0.3277 0.3277 0.8775  3 V 2.50-2.56, 1 Os 2.79
Os: 0.6723 0.6723 0.1225  3 V 2.50-2.56, 1 Os 2.79


(8)
This record from the Alexandria database describes Na2TiI6 after structural relaxation. The functional is PBE.

Results
* offset from the most stable computed form: 0.00 kJ/mol of atoms
* E_tot: -0.2293 Ry/atom
* crystal system: monoclinic

Unit cell a=7.5280 b=7.9568 c=13.3182 alpha=90.00 beta=122.90 gamma=90.00
Closest atoms and distances in Å follow each position.
Atoms (fractional coordinates):
Na: 0.1917 0.1010 0.2356  6 I 3.24-3.45
Na: 0.1917 0.3990 0.7356  6 I 3.24-3.45
Na: 0.8083 0.6010 0.2644  6 I 3.24-3.45
Na: 0.8083 0.8990 0.7644  6 I 3.24-3.45
Ti: 0.5000 0.0000 0.0000  6 I 2.77-2.79
Ti: 0.5000 0.5000 0.5000  6 I 2.77-2.79
I: 0.1414 0.1845 0.9389  1 Ti 2.78
I: 0.1414 0.3155 0.4389  1 Ti 2.78
I: 0.2710 0.7035 0.9404  1 Ti 2.77
I: 0.2710 0.7965 0.4404  1 Ti 2.77
I: 0.3995 0.0292 0.7663  1 Ti 2.79
I: 0.3995 0.4708 0.2663  1 Ti 2.79
I: 0.6005 0.5292 0.7337  1 Ti 2.79
I: 0.6005 0.9708 0.2337  1 Ti 2.79
I: 0.7290 0.2035 0.5596  1 Ti 2.77
I: 0.7290 0.2965 0.0596  1 Ti 2.77
I: 0.8586 0.6845 0.5611  1 Ti 2.78
I: 0.8586 0.8155 0.0611  1 Ti 2.78


(9)
This record from the Alexandria database describes HgRh3 after structural relaxation. The functional is PBE.

Results
* E_tot: -0.3934 Ry/atom
* crystal system: orthorhombic
* density of states at the Fermi level: 5.14 states/eV/f.u.

Unit cell a=2.8345 b=4.5491 c=4.9010 alpha=90.00 beta=90.00 gamma=90.00
Closest atoms and distances in Å follow each position.
Atoms (fractional coordinates):
Hg: 0.0000 0.0000 0.0000  10 Rh 2.82-2.84, 2 Hg 2.83
Rh: 0.0000 0.5000 0.3460  10 Rh 2.69-2.97, 2 Hg 2.84
Rh: 0.5000 0.0000 0.4976  8 Rh 2.75-2.83, 4 Hg 2.82-2.84
Rh: 0.5000 0.5000 0.8127  8 Rh 2.69-2.97, 4 Hg 2.83


(10)
This record from the Alexandria database describes RbLiV2Br after structural relaxation. The functional is PBE.

Results
* E_tot: -0.2627 Ry/atom
* crystal system: tetragonal
* density of states at the Fermi level: 5.68 states/eV/f.u.

Unit cell a=4.8602 b=4.8602 c=7.3421 alpha=90.00 beta=90.00 gamma=90.00
Closest atoms and distances in Å follow each position.
Atoms (fractional coordinates):
Rb: 0.0000 0.0000 0.0000  4 Br 3.44, 2 Li 3.67
Li: 0.0000 0.0000 0.5000  4 V 2.43
V: 0.0000 0.5000 0.5000  2 Li 2.43
V: 0.5000 0.0000 0.5000  2 Li 2.43
Br: 0.5000 0.5000 0.0000  4 Rb 3.44


Number 1: calculated volume 30.798 Å³/atom. Number 2: calculated volume 17.447 Å³/atom. Number 3: calculated volume 28.249 Å³/atom. Number 4: calculated volume 18.331 Å³/atom. Number 5: calculated volume 26.609 Å³/atom. Number 6: calculated volume 19.608 Å³/atom. Number 7: calculated volume 14.333 Å³/atom. Number 8: calculated volume 37.212 Å³/atom. Number 9: calculated volume 15.799 Å³/atom. Number 10: calculated volume 34.687 Å³/atom.